(1)
# Rb2HfNbPb, optimized geometry, DFT GGA-PBEsol
# Magnetization ... 5.355 μB per formula unit
# Formation energy from the elements ... 182 kJ per mole of atoms
# ρ ... 4.7 g/cm³
# Crystal system ... tetragonal
# Final energy ... -3.593 eV per atom
data_Rb2HfNbPb
_space_group_name_H-M_alt 'P 1'
_space_group_IT_number 1
_space_group_name_Hall 'P 1'
_cell_length_a 5.4607
_cell_length_b 6.4637
_cell_length_c 6.4637
_cell_angle_alpha 90.00
_cell_angle_beta 90.00
_cell_angle_gamma 90.00
loop_
_atom_site_label
_atom_site_fract_x
_atom_site_fract_y
_atom_site_fract_z
_atom_site_occupancy
Rb1 0.0000 0.5000 0.0000 1
Rb2 0.0000 0.0000 0.5000 1
Hf1 0.5000 0.5000 0.5000 1
Pb1 0.0000 0.0000 0.0000 1
Nb1 0.5000 0.0000 0.0000 1

=====

(2)
# Tc3SnCl, optimized geometry, DFT GGA-PBEsol
# Magnetization ... 0.125 μB per formula unit
# ρ ... 9.2 g/cm³
# Crystal system ... cubic
# Final energy ... -7.065 eV per atom
data_Tc3SnCl
_space_group_name_H-M_alt 'P 1'
_space_group_IT_number 1
_space_group_name_Hall 'P 1'
_cell_length_a 4.3266
_cell_length_b 4.3266
_cell_length_c 4.3266
_cell_angle_alpha 90.00
_cell_angle_beta 90.00
_cell_angle_gamma 90.00
loop_
_atom_site_label
_atom_site_fract_x
_atom_site_fract_y
_atom_site_fract_z
_atom_site_occupancy
Sn1 0.5000 0.5000 0.5000 1
Tc1 0.0000 0.0000 0.5000 1
Tc2 0.0000 0.5000 0.0000 1
Tc3 0.5000 0.0000 0.0000 1
Cl1 0.0000 0.0000 0.0000 1

=====

(3)
# SrFeCl3, optimized geometry, DFT GGA-PBEsol
# Magnetization ... 4.302 μB per formula unit
# ρ ... 2.5 g/cm³
# Crystal system ... cubic
# Final energy ... -3.973 eV per atom
data_SrFeCl3
_space_group_name_H-M_alt 'P 1'
_space_group_IT_number 1
_space_group_name_Hall 'P 1'
_cell_length_a 5.5101
_cell_length_b 5.5101
_cell_length_c 5.5101
_cell_angle_alpha 90.00
_cell_angle_beta 90.00
_cell_angle_gamma 90.00
loop_
_atom_site_label
_atom_site_fract_x
_atom_site_fract_y
_atom_site_fract_z
_atom_site_occupancy
Cl1 0.5000 0.0000 0.0000 1
Cl2 0.0000 0.5000 0.0000 1
Cl3 0.0000 0.0000 0.5000 1
Fe1 0.5000 0.5000 0.5000 1
Sr1 0.0000 0.0000 0.0000 1